The following is a DFT calculation (GGA-PBE) of a relaxed PmY2MgO crystal.

Mass density = 5.15 g cm⁻³
Volume = 23.44 Å³ per atom

a = 4.9991 Å, b = 4.8416 Å, c = 4.8416 Å
α = 90.00°, β = 90.00°, γ = 90.00°
With the nearest neighbours (Å) after each atom.
Sites, in units of the cell vectors:
Mg (0.5000, 0.5000, 0.5000)  4 Pm 3.42, 8 Y 3.48
Pm (0.5000, 0.0000, 0.0000)  2 O 2.50
Y (0.0000, 0.5000, 0.0000)  2 O 2.42
Y (0.0000, 0.0000, 0.5000)  2 O 2.42
O (0.0000, 0.0000, 0.0000)  4 Y 2.42, 2 Pm 2.50


The following is a DFT calculation (GGA-PBE) of a relaxed PrMgO2 crystal.

Mass density = 6.22 g cm⁻³
Volume = 13.16 Å³ per atom

a = 3.2582 Å, b = 3.2582 Å, c = 6.0272 Å
α = 74.32°, β = 74.32°, γ = 60.00°
With the nearest neighbours (Å) after each atom.
Sites, in units of the cell vectors:
Mg (0.0000, 0.0000, 0.0000)  6 O 2.21
Pr (0.5000, 0.5000, 0.5000)  6 O 2.54
O (0.7340, 0.7340, 0.7980)  3 Mg 2.21
O (0.2660, 0.2660, 0.2020)  3 Mg 2.21


no.,energy (eV per cell)
1,-30.21
2,-26.27